# VTc3F, relaxed, DFT GGA+U
data_VTc3F
_space_group_name_H-M_alt 'P m -3 m'
_space_group_IT_number 221
_space_group_name_Hall '-P 4 2 3'
_cell_length_a 4.554
_cell_length_b 4.554
_cell_length_c 4.554
_cell_angle_alpha 90.00
_cell_angle_beta 90.00
_cell_angle_gamma 90.00
loop_
_atom_site_label
_atom_site_fract_x
_atom_site_fract_y
_atom_site_fract_z
V1 0.000 0.000 0.000
Tc1 0.000 0.000 0.500
F1 0.500 0.500 0.500
# Size of the total moment   0.70 μB/atom
# Polymorph energy (0 for the lowest one)   849 meV/atom